Arrangement one

First-principles (GGA-PBE) data for crystalline Co2ReAg at its relaxed geometry, as listed in Alexandria.

Lattice parameters (Å, degrees): 4.2188 4.2188 4.2188 60.00 60.00 60.00
Fractional coordinates of all 4 atoms:
Co  0.2500  0.2500  0.2500
Co  0.7500  0.7500  0.7500
Re  0.0000  0.0000  0.0000
Ag  0.5000  0.5000  0.5000

Output
DOS(E_F), states/eV/cell: 1.53
Space group: No. 225
Total magnetic moment, μB per cell: 2.1

Arrangement two

First-principles (GGA-PBE) data for crystalline Co2ReAg at its relaxed geometry, as listed in Alexandria.

Lattice parameters (Å, degrees): 4.2527 4.2527 4.2527 60.00 60.00 60.00
Fractional coordinates of all 4 atoms:
Co  0.0000  0.0000  0.0000
Co  0.2500  0.2500  0.2500
Re  0.5000  0.5000  0.5000
Ag  0.7500  0.7500  0.7500

Output
DOS(E_F), states/eV/cell: 6.65
Space group: No. 216
Total magnetic moment, μB per cell: 2.0

Of the structures shown above, arrangement two is the least stable.